DFT (GGA-PBE) results for crystalline NbNi2Pt5 at its relaxed geometry.

Values from the calculation:
As for the formation energy: -2.77 eV/f.u. The value obtained for the offset from the most stable computed form is 0.00 kcal/mol of atoms.

Cell lengths 5.5338, 11.0996, 3.8641 Å; angles 90.00, 90.00, 90.00 degrees
Space group Pbam (No. 55)
Inequivalent atoms, fractional coordinates:
Nb 0.0000 0.0000 0.0000
Ni 0.2504 0.1235 0.5000
Pt 0.0000 0.5000 0.0000
Pt 0.0050 0.2428 0.0000
Pt 0.2503 0.3793 0.5000

=====

DFT (GGA-PBE) results for crystalline Nb2Ni15Pt2 at its relaxed geometry.

Values from the calculation:
As for the formation energy: 1.02 eV/f.u. The value obtained for the offset from the most stable computed form is 2.28 kcal/mol of atoms.

Cell lengths 8.2205, 8.2205, 12.1702 Å; angles 90.00, 90.00, 120.00 degrees
Space group R-3m (No. 166, hexagonal axes)
Inequivalent atoms, fractional coordinates:
Nb 0.0000 0.0000 0.1166
Ni 0.0000 0.3044 0.0000
Ni 0.0000 0.5000 0.5000
Ni 0.0109 0.5054 0.1526
Pt 0.0000 0.0000 0.3424

=====

DFT (GGA-PBE) results for crystalline NbNi23Pt6 at its relaxed geometry.

Values from the calculation:
As for the formation energy: -0.05 eV/f.u.

Cell lengths 11.3973, 11.3973, 11.3973 Å; angles 90.00, 90.00, 90.00 degrees
Space group Fm-3m (No. 225)
Inequivalent atoms, fractional coordinates:
Nb 0.0000 0.0000 0.0000
Ni 0.0000 0.0000 0.5000
Ni 0.0000 0.2500 0.2500
Ni 0.1240 0.1240 0.3760
Ni 0.1601 0.1601 0.1601
Pt 0.0000 0.0000 0.2326

=====

DFT (GGA-PBE) results for crystalline Nb2NiPt9 at its relaxed geometry.

Values from the calculation:
As for the formation energy: -5.70 eV/f.u.

Cell lengths 3.9803, 3.9803, 11.8343 Å; angles 90.00, 90.00, 90.00 degrees
Space group P4/mmm (No. 123)
Inequivalent atoms, fractional coordinates:
Nb 0.0000 0.0000 0.1772
Ni 0.0000 0.0000 0.5000
Pt 0.0000 0.5000 0.0000
Pt 0.0000 0.5000 0.3344
Pt 0.5000 0.5000 0.1664
Pt 0.5000 0.5000 0.5000

=====

DFT (GGA-PBE) results for crystalline NbNi4Pt2 at its relaxed geometry.

Values from the calculation:
As for the formation energy: 2.12 eV/f.u. The value obtained for the offset from the most stable computed form is 9.00 kcal/mol of atoms.

Cell lengths 4.6606, 4.6606, 9.3012 Å; angles 90.00, 90.00, 90.00 degrees
Space group I4/mmm (No. 139)
Inequivalent atoms, fractional coordinates:
Nb 0.0000 0.0000 0.0000
Ni 0.0000 0.5000 0.0000
Ni 0.0000 0.5000 0.2500
Pt 0.0000 0.0000 0.3560

=====

DFT (GGA-PBE) results for crystalline NbNiPt3 at its relaxed geometry.

Values from the calculation:
As for the formation energy: -1.47 eV/f.u. The value obtained for the offset from the most stable computed form is 5.06 kcal/mol of atoms.

Cell lengths 4.5155, 7.0444, 5.0702 Å; angles 90.00, 90.52, 90.00 degrees
Space group P2_1/m (No. 11)
Inequivalent atoms, fractional coordinates:
Nb 0.1816 0.2500 0.2444
Ni 0.3393 0.7500 0.5022
Pt 0.1699 0.0605 0.7231
Pt 0.3408 0.7500 0.0243

=====

DFT (GGA-PBE) results for crystalline Nb2Ni2Pt at its relaxed geometry.

Values from the calculation:
As for the formation energy: -0.67 eV/f.u. The value obtained for the offset from the most stable computed form is 5.48 kcal/mol of atoms.

Cell lengths 9.3382, 2.7707, 6.4548 Å; angles 90.00, 114.23, 90.00 degrees
Space group C2/m (No. 12)
Inequivalent atoms, fractional coordinates:
Nb 0.1575 0.0000 0.2698
Ni 0.1494 0.0000 0.8660
Pt 0.0000 0.5000 0.5000

=====

DFT (GGA-PBE) results for crystalline Nb2Ni3Pt3 at its relaxed geometry.

Values from the calculation:
As for the formation energy: -3.65 eV/f.u. The value obtained for the offset from the most stable computed form is 0.00 kcal/mol of atoms.

Cell lengths 7.1573, 7.1573, 7.8795 Å; angles 90.00, 90.00, 120.00 degrees
Space group R32 (No. 155, hexagonal axes)
Inequivalent atoms, fractional coordinates:
Nb 0.0000 0.0000 0.2249
Ni 0.0000 0.2927 0.0000
Pt 0.0000 0.7462 0.5000